SrTaRh | GGA-PBEsol | relaxed

a b c (Å): 4.5294 4.5294 4.5294
angles (deg): 60.00 60.00 60.00
Fractional coordinates of all 3 atoms:
Rh  0.5000  0.5000  0.5000
Ta  0.0000  0.0000  0.0000
Sr  0.2500  0.2500  0.2500

SrTaRh2 | GGA-PBEsol | relaxed

Values from the calculation:
ΔE to the lowest computed polymorph, meV/atom: 442

a b c (Å): 4.6629 4.6629 4.6629
angles (deg): 60.00 60.00 60.00
Fractional coordinates of all 4 atoms:
Rh  0.7500  0.7500  0.7500
Rh  0.2500  0.2500  0.2500
Ta  0.5000  0.5000  0.5000
Sr  0.0000  0.0000  0.0000

SrTaRh2 | GGA-PBEsol | relaxed

Values from the calculation:
ΔE to the lowest computed polymorph, meV/atom: 0

a b c (Å): 3.1711 3.1711 7.5649
angles (deg): 90.00 90.00 90.00
Fractional coordinates of all 4 atoms:
Rh  0.0000  0.0000  0.6899
Rh  0.0000  0.0000  0.3101
Ta  0.5000  0.5000  0.5000
Sr  0.5000  0.5000  0.0000

Number 1: uncorrected energy -16.81 eV/cell, formation energy from the elements 1.91 eV/atom. Number 2: uncorrected energy -30.17 eV/cell, formation energy from the elements 0.12 eV/atom. Number 3: uncorrected energy -31.94 eV/cell, formation energy from the elements -0.32 eV/atom.